VASP calculation (GGA-PBE) on a geometry-optimized LaIrRu2Pb structure.

Cell: 4.8487 4.8487 5.1516 Å, 90.00 90.00 90.00°
Closest atoms and distances in Å follow each position.
Space group P4/mmm (No. 123)
Symmetry-distinct sites (fractional):
La  0.0000  0.0000  0.0000 (multiplicity 1)  4 Pb 3.43, 8 Ru 3.54
Ir  0.5000  0.5000  0.5000 (multiplicity 1)  4 Ru 2.42, 2 Pb 2.58
Ru  0.0000  0.5000  0.5000 (multiplicity 2)  2 Ir 2.42
Pb  0.5000  0.5000  0.0000 (multiplicity 1)  2 Ir 2.58

Calculated values
The value obtained for the density of states at the Fermi level is 7.21 states/eV/f.u. Its total magnetization is 0.00 Bohr magnetons per cell. The formation enthalpy at 0 K is 0.7528 eV per atom. As for the total energy: -6.4569 eV per atom.

***

VASP calculation (GGA-PBE) on a geometry-optimized La2SbIrPb structure.

Cell: 5.6147 5.6147 5.0555 Å, 90.00 90.00 90.00°
Closest atoms and distances in Å follow each position.
Space group P4/mmm (No. 123)
Symmetry-distinct sites (fractional):
La  0.0000  0.5000  0.0000 (multiplicity 2)  2 Ir 2.81
Sb  0.0000  0.0000  0.5000 (multiplicity 1)  2 Ir 2.53
Ir  0.0000  0.0000  0.0000 (multiplicity 1)  2 Sb 2.53, 4 La 2.81
Pb  0.5000  0.5000  0.5000 (multiplicity 1)  8 La 3.78, 4 Sb 3.97

Calculated values
The value obtained for the density of states at the Fermi level is 4.24 states/eV/f.u. Its total magnetization is 0.00 Bohr magnetons per cell. The uncorrected formation energy is -0.5334 eV/atom. As for the total energy: -5.8427 eV per atom.

***

VASP calculation (GGA-PBE) on a geometry-optimized La2ScIrPb structure.

Cell: 5.5504 5.5504 5.1626 Å, 90.00 90.00 90.00°
Closest atoms and distances in Å follow each position.
Space group P4/mmm (No. 123)
Symmetry-distinct sites (fractional):
La  0.0000  0.5000  0.0000 (multiplicity 2)  2 Ir 2.78
Sc  0.0000  0.0000  0.5000 (multiplicity 1)  2 Ir 2.58
Ir  0.0000  0.0000  0.0000 (multiplicity 1)  2 Sc 2.58, 4 La 2.78
Pb  0.5000  0.5000  0.5000 (multiplicity 1)  8 La 3.79, 4 Sc 3.92

Calculated values
The value obtained for the density of states at the Fermi level is 4.86 states/eV/f.u. Its total magnetization is 0.00 Bohr magnetons per cell. The formation enthalpy at 0 K is -0.5067 eV per atom. As for the total energy: -6.2578 eV per atom.

***

VASP calculation (GGA-PBE) on a geometry-optimized LaIr2PbSe structure.

Cell: 4.7382 4.7382 5.5090 Å, 90.00 90.00 90.00°
Closest atoms and distances in Å follow each position.
Space group P4/mmm (No. 123)
Symmetry-distinct sites (fractional):
La  0.0000  0.0000  0.0000 (multiplicity 1)  2 Se 2.75
Ir  0.0000  0.5000  0.5000 (multiplicity 2)  2 Se 2.37
Pb  0.5000  0.5000  0.0000 (multiplicity 1)  4 La 3.35, 8 Ir 3.63
Se  0.0000  0.0000  0.5000 (multiplicity 1)  4 Ir 2.37

Calculated values
The value obtained for the density of states at the Fermi level is 7.30 states/eV/f.u. Its total magnetization is 0.00 Bohr magnetons per cell. The uncorrected formation energy is 0.2974 eV/atom. As for the total energy: -5.6711 eV per atom.

***

VASP calculation (GGA-PBE) on a geometry-optimized La2SnIrPb structure.

Cell: 5.5767 5.5767 5.1049 Å, 90.00 90.00 90.00°
Closest atoms and distances in Å follow each position.
Space group P4/mmm (No. 123)
Symmetry-distinct sites (fractional):
La  0.0000  0.5000  0.0000 (multiplicity 2)  2 Ir 2.79
Sn  0.0000  0.0000  0.5000 (multiplicity 1)  2 Ir 2.55
Ir  0.0000  0.0000  0.0000 (multiplicity 1)  2 Sn 2.55, 4 La 2.79
Pb  0.5000  0.5000  0.5000 (multiplicity 1)  8 La 3.78, 4 Sn 3.94

Calculated values
The value obtained for the density of states at the Fermi level is 3.76 states/eV/f.u. Its total magnetization is 0.00 Bohr magnetons per cell. The formation enthalpy at 0 K is -0.5802 eV per atom. As for the total energy: -5.8656 eV per atom.

***

VASP calculation (GGA-PBE) on a geometry-optimized SrLa2IrPb structure.

Cell: 5.5300 5.5300 5.8357 Å, 90.00 90.00 90.00°
Closest atoms and distances in Å follow each position.
Space group P4/mmm (No. 123)
Symmetry-distinct sites (fractional):
Sr  0.0000  0.0000  0.0000 (multiplicity 1)  2 Ir 2.92
La  0.0000  0.5000  0.5000 (multiplicity 2)  2 Ir 2.76
Ir  0.0000  0.0000  0.5000 (multiplicity 1)  4 La 2.76, 2 Sr 2.92
Pb  0.5000  0.5000  0.0000 (multiplicity 1)  4 Sr 3.91, 8 La 4.02

Calculated values
The value obtained for the density of states at the Fermi level is 3.16 states/eV/f.u. Its total magnetization is 0.00 Bohr magnetons per cell. The formation enthalpy at 0 K is -0.4750 eV per atom. As for the total energy: -5.2962 eV per atom.

***

VASP calculation (GGA-PBE) on a geometry-optimized La2TeIrPb structure.

Cell: 5.6036 5.6036 5.1500 Å, 90.00 90.00 90.00°
Closest atoms and distances in Å follow each position.
Space group P4/mmm (No. 123)
Symmetry-distinct sites (fractional):
La  0.0000  0.5000  0.0000 (multiplicity 2)  2 Ir 2.80
Te  0.0000  0.0000  0.5000 (multiplicity 1)  2 Ir 2.57
Ir  0.0000  0.0000  0.0000 (multiplicity 1)  2 Te 2.57, 4 La 2.80
Pb  0.5000  0.5000  0.5000 (multiplicity 1)  8 La 3.81, 4 Te 3.96

Calculated values
The value obtained for the density of states at the Fermi level is 3.80 states/eV/f.u. Its total magnetization is 0.00 Bohr magnetons per cell. The uncorrected formation energy is -0.4752 eV/atom. As for the total energy: -5.5884 eV per atom.

***

VASP calculation (GGA-PBE) on a geometry-optimized La2ZnIrPb structure.

Cell: 5.5289 5.5289 4.8973 Å, 90.00 90.00 90.00°
Closest atoms and distances in Å follow each position.
Space group P4/mmm (No. 123)
Symmetry-distinct sites (fractional):
La  0.0000  0.5000  0.0000 (multiplicity 2)  2 Ir 2.76
Zn  0.0000  0.0000  0.5000 (multiplicity 1)  2 Ir 2.45
Ir  0.0000  0.0000  0.0000 (multiplicity 1)  2 Zn 2.45
Pb  0.5000  0.5000  0.5000 (multiplicity 1)  8 La 3.69, 4 Zn 3.91

Calculated values
The value obtained for the density of states at the Fermi level is 3.56 states/eV/f.u. Its total magnetization is 0.00 Bohr magnetons per cell. Its energy above the most stable polymorph in this dataset is 96 meV/atom. The formation enthalpy at 0 K is -0.5011 eV per atom. As for the total energy: -5.2408 eV per atom.